[1]
Computed, not measured: crystalline Sr2CoSb2 at its relaxed geometry at the PBE level of DFT.

Computed properties:
Raw total energy, eV/atom: -4.13
DOS at the Fermi energy, states/eV/atom: 0.860
Spin magnetization, μB per formula unit: 0.73

```
data_Sr2CoSb2
_chemical_formula_sum 'Sr4 Co2 Sb4'
_symmetry_space_group_name_H-M 'P 1'
_symmetry_Int_Tables_number 1
_cell_length_a 7.2840
_cell_length_b 7.2840
_cell_length_c 5.1564
_cell_angle_alpha 90.00
_cell_angle_beta 90.00
_cell_angle_gamma 90.00
loop_
_symmetry_equiv_pos_as_xyz
'x,y,z'
loop_
_atom_site_label
_atom_site_fract_x
_atom_site_fract_y
_atom_site_fract_z
Sb1 0.8505 0.6495 0.0000
Sb2 0.6495 0.1495 0.0000
Sb3 0.1495 0.3505 0.0000
Sb4 0.3505 0.8505 0.0000
Co1 0.0000 0.0000 0.0000
Co2 0.5000 0.5000 0.0000
Sr1 0.3311 0.1689 0.5000
Sr2 0.1689 0.6689 0.5000
Sr3 0.8311 0.3311 0.5000
Sr4 0.6689 0.8311 0.5000
```

***

[2]
Computed, not measured: crystalline Rb2IrRu at its relaxed geometry at the PBE level of DFT.

Computed properties:
Raw total energy, eV/atom: -3.03
DOS at the Fermi energy, states/eV/atom: 4.536
Spin magnetization, μB per formula unit: 3.28

```
data_Rb2IrRu
_chemical_formula_sum 'Rb2 Ir1 Ru1'
_symmetry_space_group_name_H-M 'P 1'
_symmetry_Int_Tables_number 1
_cell_length_a 5.4441
_cell_length_b 5.4441
_cell_length_c 5.4441
_cell_angle_alpha 60.00
_cell_angle_beta 60.00
_cell_angle_gamma 60.00
loop_
_symmetry_equiv_pos_as_xyz
'x,y,z'
loop_
_atom_site_label
_atom_site_fract_x
_atom_site_fract_y
_atom_site_fract_z
Ir1 0.5000 0.5000 0.5000
Rb1 0.2500 0.2500 0.2500
Rb2 0.7500 0.7500 0.7500
Ru1 0.0000 0.0000 0.0000
```

***

[3]
Computed, not measured: crystalline Co7As6 at its relaxed geometry at the PBE level of DFT.

Computed properties:
Raw total energy, eV/atom: -5.94
DOS at the Fermi energy, states/eV/atom: 0.754
Spin magnetization, μB per formula unit: 1.41

```
data_Co7As6
_chemical_formula_sum 'Co7 As6'
_symmetry_space_group_name_H-M 'P 1'
_symmetry_Int_Tables_number 1
_cell_length_a 8.9040
_cell_length_b 8.9040
_cell_length_c 8.9040
_cell_angle_alpha 32.52
_cell_angle_beta 32.52
_cell_angle_gamma 32.52
loop_
_symmetry_equiv_pos_as_xyz
'x,y,z'
loop_
_atom_site_label
_atom_site_fract_x
_atom_site_fract_y
_atom_site_fract_z
As1 0.8135 0.8135 0.8135
As2 0.0576 0.0576 0.0576
As3 0.3316 0.3316 0.3316
As4 0.1865 0.1865 0.1865
As5 0.6684 0.6684 0.6684
As6 0.9424 0.9424 0.9424
Co1 0.4299 0.9208 0.4299
Co2 0.0792 0.5701 0.5701
Co3 0.5701 0.0792 0.5701
Co4 0.4299 0.4299 0.9208
Co5 0.5000 0.5000 0.5000
Co6 0.9208 0.4299 0.4299
Co7 0.5701 0.5701 0.0792
```

***

[4]
Computed, not measured: crystalline CeDyCuAu at its relaxed geometry at the PBE level of DFT.

Computed properties:
Raw total energy, eV/atom: -4.88
DOS at the Fermi energy, states/eV/atom: 1.976
Spin magnetization, μB per formula unit: 0.76

```
data_CeDyCuAu
_chemical_formula_sum 'Ce1 Dy1 Cu1 Au1'
_symmetry_space_group_name_H-M 'P 1'
_symmetry_Int_Tables_number 1
_cell_length_a 5.0785
_cell_length_b 5.0785
_cell_length_c 5.0785
_cell_angle_alpha 60.00
_cell_angle_beta 60.00
_cell_angle_gamma 60.00
loop_
_symmetry_equiv_pos_as_xyz
'x,y,z'
loop_
_atom_site_label
_atom_site_fract_x
_atom_site_fract_y
_atom_site_fract_z
Ce1 0.5000 0.5000 0.5000
Cu1 0.2500 0.2500 0.2500
Au1 0.7500 0.7500 0.7500
Dy1 0.0000 0.0000 0.0000
```

***

[5]
Computed, not measured: crystalline In5Br at its relaxed geometry at the PBE level of DFT.

Computed properties:
Raw total energy, eV/atom: -2.58
DOS at the Fermi energy, states/eV/atom: 0.711
Spin magnetization, μB per formula unit: 0.00

```
data_In5Br
_chemical_formula_sum 'In5 Br1'
_symmetry_space_group_name_H-M 'P 1'
_symmetry_Int_Tables_number 1
_cell_length_a 6.3168
_cell_length_b 6.3168
_cell_length_c 6.3168
_cell_angle_alpha 60.00
_cell_angle_beta 60.00
_cell_angle_gamma 60.00
loop_
_symmetry_equiv_pos_as_xyz
'x,y,z'
loop_
_atom_site_label
_atom_site_fract_x
_atom_site_fract_y
_atom_site_fract_z
In1 0.6248 0.6248 0.6248
In2 0.6248 0.1257 0.6248
In3 0.1257 0.6248 0.6248
In4 0.6248 0.6248 0.1257
In5 0.2500 0.2500 0.2500
Br1 0.0000 0.0000 0.0000
```

***

[6]
Computed, not measured: crystalline Sm5Sn2Pb2 at its relaxed geometry at the PBE level of DFT.

Computed properties:
Raw total energy, eV/atom: -5.01
DOS at the Fermi energy, states/eV/atom: 0.677
Spin magnetization, μB per formula unit: 0.00

```
data_Sm5Sn2Pb2
_chemical_formula_sum 'Sm10 Sn4 Pb4'
_symmetry_space_group_name_H-M 'P 1'
_symmetry_Int_Tables_number 1
_cell_length_a 8.3552
_cell_length_b 8.3536
_cell_length_c 8.9990
_cell_angle_alpha 90.00
_cell_angle_beta 62.34
_cell_angle_gamma 90.00
loop_
_symmetry_equiv_pos_as_xyz
'x,y,z'
loop_
_atom_site_label
_atom_site_fract_x
_atom_site_fract_y
_atom_site_fract_z
Sm1 0.4626 0.1698 0.7290
Sm2 0.9626 0.3302 0.7290
Sm3 0.1915 0.1698 0.2710
Sm4 0.6915 0.3302 0.2710
Sm5 0.8085 0.8302 0.7290
Sm6 0.5000 0.5000 0.0000
Sm7 0.3085 0.6698 0.7290
Sm8 0.5374 0.8302 0.2710
Sm9 0.0374 0.6698 0.2710
Sm10 0.0000 0.0000 0.0000
Sn1 0.8704 0.6310 0.0000
Sn2 0.1296 0.3690 0.0000
Sn3 0.3704 0.8690 0.0000
Sn4 0.6296 0.1310 0.0000
Pb1 0.7078 0.5000 0.5844
Pb2 0.2922 0.5000 0.4156
Pb3 0.2078 0.0000 0.5844
Pb4 0.7922 0.0000 0.4156
```

***

[7]
Computed, not measured: crystalline Co7P at its relaxed geometry at the PBE level of DFT.

Computed properties:
Raw total energy, eV/atom: -6.94
DOS at the Fermi energy, states/eV/atom: 1.084
Spin magnetization, μB per formula unit: 8.91

```
data_Co7P
_chemical_formula_sum 'Co7 P1'
_symmetry_space_group_name_H-M 'P 1'
_symmetry_Int_Tables_number 1
_cell_length_a 4.9368
_cell_length_b 4.9368
_cell_length_c 4.9368
_cell_angle_alpha 60.00
_cell_angle_beta 60.00
_cell_angle_gamma 60.00
loop_
_symmetry_equiv_pos_as_xyz
'x,y,z'
loop_
_atom_site_label
_atom_site_fract_x
_atom_site_fract_y
_atom_site_fract_z
P1 0.0000 0.0000 0.0000
Co1 0.0000 0.5000 0.5000
Co2 0.5000 0.0000 0.5000
Co3 0.0000 0.0000 0.5000
Co4 0.0000 0.5000 0.0000
Co5 0.5000 0.5000 0.0000
Co6 0.5000 0.0000 0.0000
Co7 0.5000 0.5000 0.5000
```

***

[8]
Computed, not measured: crystalline LaRhSe2 at its relaxed geometry at the PBE level of DFT.

Computed properties:
Raw total energy, eV/atom: -5.72
DOS at the Fermi energy, states/eV/atom: 0.237
Spin magnetization, μB per formula unit: 0.00

```
data_LaRhSe2
_chemical_formula_sum 'La2 Rh2 Se4'
_symmetry_space_group_name_H-M 'P 1'
_symmetry_Int_Tables_number 1
_cell_length_a 5.2702
_cell_length_b 5.2702
_cell_length_c 8.5275
_cell_angle_alpha 72.00
_cell_angle_beta 72.00
_cell_angle_gamma 90.00
loop_
_symmetry_equiv_pos_as_xyz
'x,y,z'
loop_
_atom_site_label
_atom_site_fract_x
_atom_site_fract_y
_atom_site_fract_z
La1 0.7500 0.2500 0.5000
La2 0.0000 0.0000 0.0000
Se1 0.3750 0.4530 0.7500
Se2 0.5470 0.1250 0.2500
Se3 0.2030 0.6250 0.2500
Se4 0.8750 0.7970 0.7500
Rh1 0.2500 0.7500 0.5000
Rh2 0.5000 0.5000 0.0000
```

***

[9]
Computed, not measured: crystalline Ca2CuBr at its relaxed geometry at the PBE level of DFT.

Computed properties:
Raw total energy, eV/atom: -2.86
DOS at the Fermi energy, states/eV/atom: 0.145
Spin magnetization, μB per formula unit: 0.00

```
data_Ca2CuBr
_chemical_formula_sum 'Ca2 Cu1 Br1'
_symmetry_space_group_name_H-M 'P 1'
_symmetry_Int_Tables_number 1
_cell_length_a 9.9087
_cell_length_b 9.9087
_cell_length_c 9.9087
_cell_angle_alpha 23.28
_cell_angle_beta 23.28
_cell_angle_gamma 23.28
loop_
_symmetry_equiv_pos_as_xyz
'x,y,z'
loop_
_atom_site_label
_atom_site_fract_x
_atom_site_fract_y
_atom_site_fract_z
Ca1 0.2347 0.2347 0.2347
Ca2 0.0154 0.0154 0.0154
Cu1 0.5064 0.5064 0.5064
Br1 0.7435 0.7435 0.7435
```

***

[10]
Computed, not measured: crystalline TlAgH6Ir at its relaxed geometry at the PBE level of DFT.

Computed properties:
Raw total energy, eV/atom: -3.71
DOS at the Fermi energy, states/eV/atom: 0.107
Spin magnetization, μB per formula unit: 0.00

```
data_TlAgH6Ir
_chemical_formula_sum 'Tl1 Ag1 H6 Ir1'
_symmetry_space_group_name_H-M 'P 1'
_symmetry_Int_Tables_number 1
_cell_length_a 4.8290
_cell_length_b 5.4818
_cell_length_c 5.0776
_cell_angle_alpha 91.48
_cell_angle_beta 76.03
_cell_angle_gamma 55.85
loop_
_symmetry_equiv_pos_as_xyz
'x,y,z'
loop_
_atom_site_label
_atom_site_fract_x
_atom_site_fract_y
_atom_site_fract_z
H1 0.2969 0.0627 0.3912
H2 0.3589 0.6070 0.3433
H3 0.1662 0.4058 0.2121
H4 0.0088 0.5173 0.7154
H5 0.5971 0.3505 0.6370
H6 0.5464 0.0903 0.6682
Tl1 0.0269 0.9577 0.0428
Ir1 0.3786 0.3121 0.4486
Ag1 0.6200 0.6965 0.5414
```

***

[11]
Computed, not measured: crystalline ZrSc5N4 at its relaxed geometry at the PBE level of DFT.

Computed properties:
Raw total energy, eV/atom: -8.88
DOS at the Fermi energy, states/eV/atom: 0.253
Spin magnetization, μB per formula unit: 0.00

```
data_ZrSc5N4
_chemical_formula_sum 'Zr1 Sc5 N4'
_symmetry_space_group_name_H-M 'P 1'
_symmetry_Int_Tables_number 1
_cell_length_a 3.2243
_cell_length_b 6.5120
_cell_length_c 7.1920
_cell_angle_alpha 103.19
_cell_angle_beta 102.95
_cell_angle_gamma 90.00
loop_
_symmetry_equiv_pos_as_xyz
'x,y,z'
loop_
_atom_site_label
_atom_site_fract_x
_atom_site_fract_y
_atom_site_fract_z
Zr1 0.5000 0.0000 0.0000
Sc1 0.8334 0.1498 0.6667
Sc2 0.5000 0.5000 0.0000
Sc3 0.1666 0.8502 0.3333
Sc4 0.8373 0.6842 0.6747
Sc5 0.1627 0.3158 0.3253
N1 0.6692 0.0884 0.3383
N2 0.9995 0.7449 0.9989
N3 0.0005 0.2551 0.0011
N4 0.3308 0.9116 0.6617
```

***

[12]
Computed, not measured: crystalline TaTl2AgTe4 at its relaxed geometry at the PBE level of DFT.

Computed properties:
Raw total energy, eV/atom: -4.18
Spin magnetization, μB per formula unit: 0.00

```
data_TaTl2AgTe4
_chemical_formula_sum 'Ta1 Tl2 Ag1 Te4'
_symmetry_space_group_name_H-M 'P 1'
_symmetry_Int_Tables_number 1
_cell_length_a 7.3019
_cell_length_b 7.3019
_cell_length_c 7.3019
_cell_angle_alpha 108.87
_cell_angle_beta 109.78
_cell_angle_gamma 109.78
loop_
_symmetry_equiv_pos_as_xyz
'x,y,z'
loop_
_atom_site_label
_atom_site_fract_x
_atom_site_fract_y
_atom_site_fract_z
Tl1 0.0000 0.0000 0.0000
Tl2 0.5000 0.7500 0.2500
Te1 0.3611 0.8811 0.8322
Te2 0.0489 0.1678 0.5289
Te3 0.6389 0.4711 0.5200
Te4 0.9511 0.4800 0.1189
Ag1 0.5000 0.2500 0.7500
Ta1 0.0000 0.5000 0.5000
```